# 1
# PBE SrPu2Pd9, relaxed
# ΔH_f (0 K)   -0.48 eV/atom
# Raw total energy   -6.908 eV/atom
# Spin magnetization   31.71 μB per cell
data_SrPu2Pd9
_symmetry_space_group_name_H-M 'R -3 m'
_symmetry_Int_Tables_number 166
_symmetry_space_group_name_Hall '-R 3 2"'
_cell_length_a 5.4317
_cell_length_b 5.4317
_cell_length_c 26.9076
_cell_angle_alpha 90.00
_cell_angle_beta 90.00
_cell_angle_gamma 120.00
loop_
_atom_site_label
_atom_site_type_symbol
_atom_site_fract_x
_atom_site_fract_y
_atom_site_fract_z
Sr1 Sr 0.0000 0.0000 0.0000
Pu1 Pu 0.0000 0.0000 0.1429
Pd1 Pd 0.0000 0.0000 0.3331
Pd2 Pd 0.0000 0.0000 0.5000
Pd3 Pd 0.0033 0.5017 0.9145

# 2
# PBE TlP2Se, relaxed
# ΔE to the lowest computed polymorph   583.2 meV per atom
# Raw total energy   -3.518 eV/atom
# Spin magnetization   0.00 μB per cell
# Raw formation energy   0.650 eV per atom
data_TlP2Se
_symmetry_space_group_name_H-M 'I -4 m 2'
_symmetry_Int_Tables_number 119
_symmetry_space_group_name_Hall 'I -4 -2'
_cell_length_a 3.770
_cell_length_b 3.770
_cell_length_c 12.490
_cell_angle_alpha 90.00
_cell_angle_beta 90.00
_cell_angle_gamma 90.00
loop_
_atom_site_label
_atom_site_type_symbol
_atom_site_fract_x
_atom_site_fract_y
_atom_site_fract_z
Tl1 Tl 0.000 0.000 0.000
P1 P 0.000 0.000 0.500
P2 P 0.000 0.500 0.750
Se1 Se 0.000 0.500 0.250

# 3
# PBE Na3LiZn8, relaxed
# ΔH_f (0 K)   -0.07 eV/atom
# Raw total energy   -1.408 eV/atom
# Spin magnetization   0.00 μB per cell
data_Na3LiZn8
_symmetry_space_group_name_H-M 'R 3 m'
_symmetry_Int_Tables_number 160
_symmetry_space_group_name_Hall 'R 3 -2"'
_cell_length_a 5.3312
_cell_length_b 5.3312
_cell_length_c 26.7594
_cell_angle_alpha 90.00
_cell_angle_beta 90.00
_cell_angle_gamma 120.00
loop_
_atom_site_label
_atom_site_type_symbol
_atom_site_fract_x
_atom_site_fract_y
_atom_site_fract_z
Na1 Na 0.0000 0.0000 0.0000
Na2 Na 0.0000 0.0000 0.1262
Na3 Na 0.0000 0.0000 0.6242
Li1 Li 0.0000 0.0000 0.5006
Zn1 Zn 0.0000 0.0000 0.3128
Zn2 Zn 0.0000 0.0000 0.8130
Zn3 Zn 0.0023 0.5012 0.0641
Zn4 Zn 0.1669 0.3339 0.8943

# 4
# PBE Cd2AgAs, relaxed
# ΔH_f (0 K)   0.07 eV/atom
# Raw total energy   -2.262 eV/atom
# Spin magnetization   0.00 μB per cell
data_Cd2AgAs
_symmetry_space_group_name_H-M 'P m m m'
_symmetry_Int_Tables_number 47
_cell_length_a 3.745
_cell_length_b 3.821
_cell_length_c 5.786
_cell_angle_alpha 90.00
_cell_angle_beta 90.00
_cell_angle_gamma 90.00
loop_
_symmetry_equiv_pos_as_xyz
'x,y,z'
'-x,-y,-z'
'-x,-y,z'
'x,y,-z'
'x,-y,-z'
'-x,y,z'
'-x,y,-z'
'x,-y,z'
loop_
_atom_site_label
_atom_site_type_symbol
_atom_site_fract_x
_atom_site_fract_y
_atom_site_fract_z
Cd1 Cd 0.000 0.000 0.249
Ag1 Ag 0.500 0.500 0.000
As1 As 0.500 0.500 0.500